[1]
! PBE CsTiAgI6, relaxed; values from VASP
&SYSTEM
  ibrav = 0, nat = 9, ntyp = 4
/
ATOMIC_SPECIES
I 126.90 I.upf
Cs 132.91 Cs.upf
Ti 47.87 Ti.upf
Ag 107.87 Ag.upf
CELL_PARAMETERS angstrom
8.061 0.346 0.183
4.330 6.806 -0.182
0.210 -0.365 8.214
ATOMIC_POSITIONS angstrom
I 3.045 3.747 5.958
I 5.410 4.324 2.656
I 6.661 2.158 5.559
I 3.339 0.011 5.649
I 4.980 0.399 2.255
I 1.890 2.520 2.564
Cs 0.447 -0.228 8.213
Ti 4.346 2.266 4.107
Ag 8.105 4.435 4.107
! final energy: -3.08 eV per atom
! size of the total moment: 0.00 μB per formula unit

[2]
! PBE AlCr2Re, relaxed; values from VASP
&SYSTEM
  ibrav = 0, nat = 4, ntyp = 3
/
ATOMIC_SPECIES
Al 26.98 Al.upf
Cr 52.00 Cr.upf
Re 186.21 Re.upf
CELL_PARAMETERS angstrom
-5.015 -2.197 6.431
-6.569 -3.063 4.336
-4.582 -4.679 5.333
ATOMIC_POSITIONS angstrom
Al -12.066 -7.419 12.017
Cr -4.136 -2.543 4.120
Cr -16.058 -9.874 15.994
Re -8.152 -5.013 8.119
! density of states at the Fermi level: 5.0 states/eV/cell
! final energy: -8.70 eV per atom
! size of the total moment: 0.00 μB per formula unit

[3]
! PBE CsBaZn2Si, relaxed; values from VASP
&SYSTEM
  ibrav = 0, nat = 5, ntyp = 4
/
ATOMIC_SPECIES
Zn 65.41 Zn.upf
Si 28.09 Si.upf
Cs 132.91 Cs.upf
Ba 137.33 Ba.upf
CELL_PARAMETERS angstrom
-1.955 2.440 -4.037
4.359 -2.562 -3.660
-3.088 -3.966 -0.901
ATOMIC_POSITIONS angstrom
Zn -1.544 -1.983 -0.450
Zn -0.978 1.220 -2.019
Si 0.000 0.000 0.000
Cs -0.342 -2.044 -4.299
Ba 2.179 -1.281 -1.830
! density of states at the Fermi level: 4.9 states/eV/cell
! final energy: -1.87 eV per atom
! size of the total moment: 0.00 μB per formula unit

[4]
! PBE AcAl4Ag8, relaxed; values from VASP
&SYSTEM
  ibrav = 0, nat = 13, ntyp = 3
/
ATOMIC_SPECIES
Ag 107.87 Ag.upf
Al 26.98 Al.upf
Ac 227.00 Ac.upf
CELL_PARAMETERS angstrom
5.400 0.000 0.000
2.700 6.753 0.000
2.700 0.000 6.753
ATOMIC_POSITIONS angstrom
Ag 5.400 5.254 1.499
Ag 8.100 5.254 5.254
Ag 5.400 4.406 4.406
Ag 2.700 1.499 1.499
Ag 2.700 2.348 4.406
Ag 2.700 4.406 2.348
Ag 5.400 1.499 5.254
Ag 5.400 2.348 2.348
Al 4.050 3.377 0.000
Al 1.350 3.377 0.000
Al 4.050 0.000 3.377
Al 1.350 0.000 3.377
Ac 0.000 0.000 0.000
! density of states at the Fermi level: 5.3 states/eV/cell
! final energy: -3.41 eV per atom
! size of the total moment: 0.00 μB per formula unit

[5]
! PBE BaCaFe2, relaxed; values from VASP
&SYSTEM
  ibrav = 0, nat = 4, ntyp = 3
/
ATOMIC_SPECIES
Ca 40.08 Ca.upf
Fe 55.84 Fe.upf
Ba 137.33 Ba.upf
CELL_PARAMETERS angstrom
3.427 0.000 0.000
0.000 3.427 0.000
0.000 0.000 8.833
ATOMIC_POSITIONS angstrom
Ca 1.713 1.713 7.422
Fe 0.000 0.000 0.650
Fe 1.713 1.713 1.388
Ba 0.000 0.000 3.789
! density of states at the Fermi level: 4.4 states/eV/cell
! size of the total moment: 4.79 μB per formula unit
! energy relative to the lowest polymorph listed for this composition: 0.0 kJ per mole of atoms

[6]
! PBE PmThTeAu, relaxed; values from VASP
&SYSTEM
  ibrav = 0, nat = 4, ntyp = 4
/
ATOMIC_SPECIES
Te 127.60 Te.upf
Pm 145.00 Pm.upf
Th 232.04 Th.upf
Au 196.97 Au.upf
CELL_PARAMETERS angstrom
5.351 0.000 0.000
2.675 4.634 0.000
2.675 1.545 4.369
ATOMIC_POSITIONS angstrom
Te 0.000 0.000 0.000
Pm 2.675 1.545 1.092
Th 8.026 4.634 3.277
Au 5.351 3.089 2.184
! density of states at the Fermi level: 5.6 states/eV/cell
! final energy: -5.41 eV per atom
! size of the total moment: 0.00 μB per formula unit

[7]
! PBE TbDyInTc, relaxed; values from VASP
&SYSTEM
  ibrav = 0, nat = 4, ntyp = 4
/
ATOMIC_SPECIES
Dy 162.50 Dy.upf
Tc 98.00 Tc.upf
Tb 158.93 Tb.upf
In 114.82 In.upf
CELL_PARAMETERS angstrom
-1.386 -4.888 0.216
3.167 -3.456 1.972
-1.055 -2.148 4.487
ATOMIC_POSITIONS angstrom
Dy 0.181 -2.623 1.669
Tc 0.363 -5.246 3.338
Tb 0.544 -7.869 5.007
In 0.000 0.000 0.000
! density of states at the Fermi level: 3.2 states/eV/cell
! final energy: -5.73 eV per atom
! size of the total moment: 0.00 μB per formula unit

[8]
! PBE Li2ReBr, relaxed; values from VASP
&SYSTEM
  ibrav = 0, nat = 8, ntyp = 3
/
ATOMIC_SPECIES
Br 79.90 Br.upf
Li 6.94 Li.upf
Re 186.21 Re.upf
CELL_PARAMETERS angstrom
7.278 0.000 0.000
0.000 7.278 0.000
3.639 3.639 2.653
ATOMIC_POSITIONS angstrom
Br 3.639 3.639 0.000
Br 3.639 7.278 1.327
Li 5.218 1.819 0.663
Li 9.097 8.856 1.990
Li 5.458 5.699 1.990
Li 2.060 5.458 0.663
Re 0.000 0.000 0.000
Re 7.278 3.639 1.327
! density of states at the Fermi level: 4.0 states/eV/cell
! size of the total moment: 2.26 μB per formula unit
! energy relative to the lowest polymorph listed for this composition: 59.5 kJ per mole of atoms

[9]
! PBE LiZr2N, relaxed; values from VASP
&SYSTEM
  ibrav = 0, nat = 8, ntyp = 3
/
ATOMIC_SPECIES
N 14.01 N.upf
Li 6.94 Li.upf
Zr 91.22 Zr.upf
CELL_PARAMETERS angstrom
-2.952 5.697 0.174
-2.213 -1.326 5.878
0.485 3.729 4.529
ATOMIC_POSITIONS angstrom
N 0.000 0.000 0.000
N -2.525 5.806 3.864
Li -2.155 2.294 6.716
Li -2.582 2.186 3.026
Zr -1.344 0.263 4.811
Zr -2.287 4.880 1.993
Zr -1.358 4.564 5.095
Zr -4.370 6.492 9.262
! density of states at the Fermi level: 2.0 states/eV/cell
! final energy: -7.11 eV per atom
! size of the total moment: 0.00 μB per formula unit

[10]
! PBE K2BeSe, relaxed; values from VASP
&SYSTEM
  ibrav = 0, nat = 4, ntyp = 3
/
ATOMIC_SPECIES
Be 9.01 Be.upf
Se 78.96 Se.upf
K 39.10 K.upf
CELL_PARAMETERS angstrom
3.840 0.000 0.000
0.000 5.044 0.007
0.000 2.521 6.401
ATOMIC_POSITIONS angstrom
Be 1.920 4.736 4.648
Se 0.000 4.725 3.344
K 0.000 7.247 5.953
K 1.920 2.204 2.076
! density of states at the Fermi level: 0.5 states/eV/cell
! size of the total moment: 0.00 μB per formula unit
! energy relative to the lowest polymorph listed for this composition: 2.5 kJ per mole of atoms

[11]
! PBE Pr2HoZr, relaxed; values from VASP
&SYSTEM
  ibrav = 0, nat = 4, ntyp = 3
/
ATOMIC_SPECIES
Zr 91.22 Zr.upf
Pr 140.91 Pr.upf
Ho 164.93 Ho.upf
CELL_PARAMETERS angstrom
4.096 0.000 0.000
0.000 4.096 0.000
0.000 0.000 7.359
ATOMIC_POSITIONS angstrom
Zr 2.048 2.048 3.679
Pr 0.000 0.000 2.011
Pr 0.000 0.000 5.348
Ho 2.048 2.048 0.000
! density of states at the Fermi level: 5.4 states/eV/cell
! size of the total moment: 0.00 μB per formula unit
! energy relative to the lowest polymorph listed for this composition: 3.9 kJ per mole of atoms

[12]
! PBE LiNpCu2O8, relaxed; values from VASP
&SYSTEM
  ibrav = 0, nat = 12, ntyp = 4
/
ATOMIC_SPECIES
Cu 63.55 Cu.upf
O 16.00 O.upf
Np 237.00 Np.upf
Li 6.94 Li.upf
CELL_PARAMETERS angstrom
-4.273 -0.825 3.783
3.785 -4.297 0.675
2.550 5.088 0.926
ATOMIC_POSITIONS angstrom
Cu -0.244 -2.561 2.229
Cu -0.983 0.851 3.469
O -2.375 -0.302 4.004
O 2.502 0.751 3.254
O -0.639 -2.871 3.946
O 0.944 -1.382 1.597
O 0.219 0.022 4.660
O -0.536 0.969 1.642
O -1.242 2.715 3.571
O 1.316 3.434 1.972
Np 0.000 0.000 0.000
Li 3.045 -0.885 1.915
! density of states at the Fermi level: 7.8 states/eV/cell
! final energy: -6.23 eV per atom
! size of the total moment: 0.00 μB per formula unit

Repeat the eleventh record exactly.
! PBE Pr2HoZr, relaxed; values from VASP
&SYSTEM
  ibrav = 0, nat = 4, ntyp = 3
/
ATOMIC_SPECIES
Zr 91.22 Zr.upf
Pr 140.91 Pr.upf
Ho 164.93 Ho.upf
CELL_PARAMETERS angstrom
4.096 0.000 0.000
0.000 4.096 0.000
0.000 0.000 7.359
ATOMIC_POSITIONS angstrom
Zr 2.048 2.048 3.679
Pr 0.000 0.000 2.011
Pr 0.000 0.000 5.348
Ho 2.048 2.048 0.000
! density of states at the Fermi level: 5.4 states/eV/cell
! size of the total moment: 0.00 μB per formula unit
! energy relative to the lowest polymorph listed for this composition: 3.9 kJ per mole of atoms

Which value of size of the total moment does entry 1 give?
0.00 μB per formula unit

Which formula does entry 8 have?
Li2ReBr